{
  "formula": "Mn2CdRh2",
  "functional": "PBE-GGA",
  "state": "relaxed",
  "lattice": [[7.248, 0.000, 0.000], [0.000, 7.248, 0.000], [0.000, 0.000, 2.714]],
  "species": ["Rh", "Rh", "Mn", "Mn", "Cd", "Cd", "Mn", "Rh", "Mn", "Rh"],
  "frac_coords": [[0.679, 0.821, 0.500], [0.821, 0.321, 0.500], [0.108, 0.392, 0.000], [0.608, 0.108, 0.000], [0.000, 0.000, 0.000], [0.500, 0.500, 0.000], [0.392, 0.892, 0.000], [0.321, 0.179, 0.500], [0.892, 0.608, 0.000], [0.179, 0.679, 0.500]],
  "formation_enthalpy_0k_kj_per_mol_fu": 74
}

---

{
  "formula": "Mn2CdRh2",
  "functional": "PBE-GGA",
  "state": "relaxed",
  "lattice": [[3.247, 0.000, 0.000], [0.000, 3.247, 0.000], [1.624, 1.624, 7.038]],
  "species": ["Rh", "Mn", "Rh", "Mn", "Cd"],
  "frac_coords": [[0.613, 0.613, 0.773], [0.750, 0.250, 0.500], [0.387, 0.387, 0.227], [0.250, 0.750, 0.500], [0.000, 0.000, 0.000]],
  "formation_enthalpy_0k_kj_per_mol_fu": 126
}

---

Energy above the most stable polymorph in this dataset (eV per atom)
0.158 0.266